Here is a geometry-optimized Tc3Pt2Rh2 structure from Alexandria. Energies are from PBE.

Cell lengths 8.4988, 3.8455, 7.6650 Å; angles 90.00, 117.16, 90.00 degrees
Space group C2/m (No. 12)
Inequivalent atoms, fractional coordinates:
Tc  0.0000  0.0000  0.0000 (multiplicity 2)
Tc  0.0518  0.0000  0.3748 (multiplicity 4)
Pt  0.2066  0.5000  0.2607 (multiplicity 4)
Rh  0.1419  0.5000  0.8681 (multiplicity 4)

V: 15.9 A^3/atom
total moment: 0.00 μB per formula unit
E_form: 0.1201 eV/atom

---

Here is a geometry-optimized TcPt3Rh structure from Alexandria. Energies are from PBE.

Cell lengths 5.4685, 3.8347, 7.8805 Å; angles 90.00, 100.98, 90.00 degrees
Space group P2_1/m (No. 11)
Inequivalent atoms, fractional coordinates:
Tc  0.1432  0.2500  0.0913 (multiplicity 2)
Pt  0.0559  0.2500  0.7344 (multiplicity 2)
Pt  0.2390  0.2500  0.4410 (multiplicity 2)
Pt  0.3508  0.7500  0.9124 (multiplicity 2)
Rh  0.4400  0.7500  0.2686 (multiplicity 2)

offset from the most stable computed form: 200 meV/atom
V: 16.2 A^3/atom
total moment: 0.00 μB per formula unit
E_form: 0.0648 eV/atom

---

Here is a geometry-optimized Tc2Pt3Rh2 structure from Alexandria. Energies are from PBE.

Cell lengths 4.3993, 2.6687, 9.3567 Å; angles 90.00, 103.49, 90.00 degrees
Space group P2/m (No. 10)
Inequivalent atoms, fractional coordinates:
Tc  0.1408  0.0000  0.2800 (multiplicity 2)
Pt  0.0000  0.5000  0.0000 (multiplicity 1)
Pt  0.2863  0.5000  0.5734 (multiplicity 2)
Rh  0.4272  0.5000  0.8535 (multiplicity 2)

V: 15.3 A^3/atom
total moment: 0.00 μB per formula unit
E_form: 0.1086 eV/atom

---

Here is a geometry-optimized TcPt7Rh3 structure from Alexandria. Energies are from PBE.

Cell lengths 5.4892, 5.4892, 6.7264 Å; angles 90.00, 90.00, 120.00 degrees
Space group P3m1 (No. 156)
Inequivalent atoms, fractional coordinates:
Tc  0.0000  0.0000  0.0000 (multiplicity 1)
Pt  0.0041  0.5021  0.9996 (multiplicity 3)
Pt  0.1673  0.3347  0.3515 (multiplicity 3)
Pt  0.6667  0.3333  0.3558 (multiplicity 1)
Rh  0.3262  0.1631  0.6828 (multiplicity 3)

V: 16.0 A^3/atom
total moment: 0.00 μB per formula unit
E_form: 0.0385 eV/atom

---

Here is a geometry-optimized TcPt12Rh3 structure from Alexandria. Energies are from PBE.

Cell lengths 3.9353, 3.9353, 15.8024 Å; angles 90.00, 90.00, 90.00 degrees
Space group P4/mmm (No. 123)
Inequivalent atoms, fractional coordinates:
Tc  0.0000  0.0000  0.0000 (multiplicity 1)
Pt  0.0000  0.5000  0.1228 (multiplicity 4)
Pt  0.0000  0.5000  0.3752 (multiplicity 4)
Pt  0.5000  0.5000  0.0000 (multiplicity 1)
Pt  0.5000  0.5000  0.2492 (multiplicity 2)
Pt  0.5000  0.5000  0.5000 (multiplicity 1)
Rh  0.0000  0.0000  0.2514 (multiplicity 2)
Rh  0.0000  0.0000  0.5000 (multiplicity 1)

V: 15.3 A^3/atom
total moment: 0.01 μB per formula unit
E_form: -0.0342 eV/atom

---

Here is a geometry-optimized Tc2PtRh structure from Alexandria. Energies are from PBE.

Cell lengths 2.6993, 2.6993, 8.0108 Å; angles 90.00, 90.00, 90.00 degrees
Space group P4/mmm (No. 123)
Inequivalent atoms, fractional coordinates:
Tc  0.0000  0.0000  0.2445 (multiplicity 2)
Pt  0.5000  0.5000  0.5000 (multiplicity 1)
Rh  0.5000  0.5000  0.0000 (multiplicity 1)

offset from the most stable computed form: 74 meV/atom
V: 14.6 A^3/atom
total moment: 0.00 μB per formula unit
E_form: -0.0926 eV/atom

---

Here is a geometry-optimized Tc2PtRh structure from Alexandria. Energies are from PBE.

Cell lengths 3.9162, 3.9162, 7.6271 Å; angles 90.00, 90.00, 90.00 degrees
Space group I-4m2 (No. 119)
Inequivalent atoms, fractional coordinates:
Tc  0.0000  0.0000  0.0000 (multiplicity 2)
Tc  0.0000  0.5000  0.2500 (multiplicity 2)
Pt  0.0000  0.0000  0.5000 (multiplicity 2)
Rh  0.0000  0.5000  0.7500 (multiplicity 2)

offset from the most stable computed form: 69 meV/atom
V: 14.6 A^3/atom
total moment: 0.00 μB per formula unit
E_form: -0.0981 eV/atom

---

Here is a geometry-optimized TcPt5Rh6 structure from Alexandria. Energies are from PBE.

Cell lengths 3.8936, 7.7883, 11.6977 Å; angles 90.00, 90.00, 90.00 degrees
Space group Immm (No. 71)
Inequivalent atoms, fractional coordinates:
Tc  0.0000  0.0000  0.0000 (multiplicity 2)
Pt  0.0000  0.0000  0.3367 (multiplicity 4)
Pt  0.0000  0.5000  0.0000 (multiplicity 2)
Pt  0.0000  0.5000  0.3368 (multiplicity 4)
Rh  0.0000  0.2464  0.1651 (multiplicity 8)
Rh  0.0000  0.2590  0.5000 (multiplicity 4)

V: 14.8 A^3/atom
total moment: 0.00 μB per formula unit
E_form: -0.0778 eV/atom

---

Here is a geometry-optimized Tc2PtRh structure from Alexandria. Energies are from PBE.

Cell lengths 2.7262, 4.4078, 4.8515 Å; angles 90.00, 90.00, 90.00 degrees
Space group Pmm2 (No. 25)
Inequivalent atoms, fractional coordinates:
Tc  0.0000  0.0000  0.0000 (multiplicity 1)
Tc  0.0000  0.5000  0.3122 (multiplicity 1)
Pt  0.5000  0.5000  0.8137 (multiplicity 1)
Rh  0.5000  0.0000  0.4874 (multiplicity 1)

offset from the most stable computed form: 0 meV/atom
V: 14.6 A^3/atom
total moment: 0.00 μB per formula unit
E_form: -0.1670 eV/atom

---

Here is a geometry-optimized TcPtRh4 structure from Alexandria. Energies are from PBE.

Cell lengths 5.0978, 5.3983, 6.6927 Å; angles 90.00, 103.34, 90.00 degrees
Space group P2_1/m (No. 11)
Inequivalent atoms, fractional coordinates:
Tc  0.1534  0.2500  0.3466 (multiplicity 2)
Pt  0.1163  0.7500  0.3503 (multiplicity 2)
Rh  0.2242  0.7500  0.9724 (multiplicity 2)
Rh  0.2633  0.2500  0.9922 (multiplicity 2)
Rh  0.4065  0.5008  0.6776 (multiplicity 4)

offset from the most stable computed form: 0 meV/atom
V: 14.9 A^3/atom
total moment: 0.00 μB per formula unit
E_form: 0.1178 eV/atom